1:
# Li2SnBi2

Crystalline Li2SnBi2 at its relaxed geometry (PBE, Alexandria).

Results
As for the calculated density: 7.19 g/cm3.

CIF file:
```
data_Li2SnBi2
_cell_length_a 10.714
_cell_length_b 3.405
_cell_length_c 7.757
_cell_angle_alpha 90.00
_cell_angle_beta 115.94
_cell_angle_gamma 90.00
_space_group_name_H-M_alt 'C 1 2/m 1'
_space_group_IT_number 12
loop_
_space_group_symop_operation_xyz
'x,y,z'
'-x,-y,-z'
'-x,y,-z'
'x,-y,z'
'x+1/2,y+1/2,z'
'-x+1/2,-y+1/2,-z'
'-x+1/2,y+1/2,-z'
'x+1/2,-y+1/2,z'
loop_
_atom_site_label
_atom_site_type_symbol
_atom_site_fract_x
_atom_site_fract_y
_atom_site_fract_z
Li1 Li 0.153 0.000 0.337
Sn1 Sn 0.000 0.500 0.000
Bi1 Bi 0.135 0.000 0.713
```

2:
# Li2SnBi2

Crystalline Li2SnBi2 at its relaxed geometry (PBE, Alexandria).

Results
As for the calculated density: 6.36 g/cm3.

CIF file:
```
data_Li2SnBi2
_cell_length_a 11.009
_cell_length_b 7.575
_cell_length_c 6.909
_cell_angle_alpha 90.00
_cell_angle_beta 94.33
_cell_angle_gamma 90.00
_space_group_name_H-M_alt 'P 1 21/c 1'
_space_group_IT_number 14
loop_
_space_group_symop_operation_xyz
'x,y,z'
'-x,-y,-z'
'-x,y+1/2,-z+1/2'
'x,-y+1/2,z+1/2'
loop_
_atom_site_label
_atom_site_type_symbol
_atom_site_fract_x
_atom_site_fract_y
_atom_site_fract_z
Li1 Li 0.034 0.187 0.016
Li2 Li 0.241 0.742 0.478
Sn1 Sn 0.362 0.099 0.854
Bi1 Bi 0.113 0.508 0.188
Bi2 Bi 0.397 0.010 0.293
```

2 is the most stable structure; the next one sits 0.008 eV/atom above it.